# 1
The following is a DFT calculation (PBE) of a geometry-optimized MnTcW2 structure.

Output
**Fermi-level density of states**: 3.2 states/eV/cell
**DFT formation energy**: 0.43 eV per formula unit
**E above lowest polymorph**: 34 meV per atom

Geometry as POSCAR:
```
MnTcW2
1.0
2.706 -0.005 0.000
-0.898 2.552 0.000
0.000 0.000 8.533
W Tc Mn
2 1 1
direct
0.000 0.000 0.011 W
0.000 0.000 0.489 W
0.500 0.500 0.750 Tc
0.500 0.500 0.250 Mn
```

---

# 2
The following is a DFT calculation (PBE) of a geometry-optimized Mn2TcW structure.

Output
**Fermi-level density of states**: 3.7 states/eV/cell
**DFT formation energy**: 0.47 eV per formula unit
**E above lowest polymorph**: 52 meV per atom

Geometry as POSCAR:
```
Mn2TcW
1.0
-1.544 -1.032 -4.826
-0.014 -3.642 3.240
-2.611 -0.292 0.270
Mn Tc W
2 1 1
direct
0.500 0.000 0.500 Mn
0.000 0.000 0.000 Mn
0.000 0.500 0.500 Tc
0.500 0.500 0.000 W
```

---

# 3
The following is a DFT calculation (PBE) of a geometry-optimized Mn2TcW structure.

Output
**Fermi-level density of states**: 4.5 states/eV/cell
**DFT formation energy**: 0.32 eV per formula unit
**E above lowest polymorph**: 14 meV per atom

Geometry as POSCAR:
```
Mn2TcW
1.0
-1.111 1.907 3.643
0.305 -2.110 3.688
2.990 1.086 2.833
Tc Mn W
1 2 1
direct
0.500 0.500 0.500 Tc
0.000 0.000 0.000 Mn
0.750 0.750 0.750 Mn
0.250 0.250 0.250 W
```

---

- Look up the DFT formation energy of the third one.
  0.32 eV per formula unit

---

- Fermi-level density of states of number 3 (Mn2TcW)?
  4.5 states/eV/cell